Entry from the Alexandria database: a relaxed structure of Cs2NaMgAs2 (PBE-GGA).

Lattice parameters (Å, degrees): 9.799 9.799 9.799 137.43 60.60 138.97
Atoms (fractional coordinates):
Cs 0.173 0.235 0.409
Cs 0.327 0.735 0.062
Cs 0.673 0.265 0.938
Cs 0.827 0.765 0.591
Na 0.250 0.250 0.000
Na 0.750 0.750 0.000
Mg 0.250 0.750 0.500
Mg 0.750 0.250 0.500
As 0.088 0.717 0.805
As 0.412 0.217 0.629
As 0.588 0.783 0.371
As 0.912 0.283 0.195

Computed properties:
V: 413.4 Å³ per cell
Energy of formation from the pure elements: -0.4663 eV per atom

Entry from the Alexandria database: a relaxed structure of CsNa2MgAs (PBE-GGA).

Lattice parameters (Å, degrees): 5.890 5.890 5.494 90.00 90.00 90.00
Atoms (fractional coordinates):
Cs 0.000 0.000 0.000
Na 0.000 0.500 0.500
Na 0.500 0.000 0.500
Mg 0.500 0.500 0.000
As 0.500 0.500 0.500

Computed properties:
V: 190.6 Å³ per cell
Energy of formation from the pure elements: -0.1419 eV per atom

Entry from the Alexandria database: a relaxed structure of Cs2MgNiAs2 (PBE-GGA).

Lattice parameters (Å, degrees): 12.457 12.457 12.457 151.36 41.29 150.90
Atoms (fractional coordinates):
Cs 0.139 0.243 0.382
Cs 0.361 0.743 0.104
Cs 0.639 0.257 0.896
Cs 0.861 0.757 0.618
Mg 0.250 0.250 0.000
Mg 0.750 0.750 0.000
Ni 0.250 0.750 0.500
Ni 0.750 0.250 0.500
As 0.055 0.711 0.766
As 0.445 0.211 0.656
As 0.555 0.789 0.344
As 0.945 0.289 0.234

Computed properties:
V: 449.7 Å³ per cell
Energy of formation from the pure elements: -0.4059 eV per atom

Entry from the Alexandria database: a relaxed structure of Cs2MgAs2O6 (PBE-GGA).

Lattice parameters (Å, degrees): 6.893 6.893 6.893 51.89 51.89 51.89
Atoms (fractional coordinates):
Cs 0.223 0.223 0.223
Cs 0.777 0.777 0.777
Mg 0.000 0.000 0.000
As 0.428 0.428 0.428
As 0.572 0.572 0.572
O 0.244 0.244 0.720
O 0.244 0.720 0.244
O 0.280 0.757 0.756
O 0.720 0.244 0.244
O 0.756 0.280 0.756
O 0.756 0.756 0.280

Computed properties:
V: 187.4 Å³ per cell
Formation energy without anion corrections: -158.69 kJ/mol of atoms

Entry from the Alexandria database: a relaxed structure of CsMgAsPb (PBE-GGA).

Lattice parameters (Å, degrees): 4.485 4.485 14.923 90.00 90.00 90.00
Atoms (fractional coordinates):
Cs 0.250 0.250 0.232
Cs 0.750 0.750 0.768
Mg 0.250 0.750 0.000
Mg 0.750 0.250 0.000
As 0.250 0.250 0.898
As 0.750 0.750 0.102
Pb 0.250 0.750 0.500
Pb 0.750 0.250 0.500

Computed properties:
V: 300.2 Å³ per cell
Energy of formation from the pure elements: -0.4001 eV per atom

Entry from the Alexandria database: a relaxed structure of CsMgAs2Pd4 (PBE-GGA).

Lattice parameters (Å, degrees): 4.203 4.203 10.542 90.00 90.00 90.00
Atoms (fractional coordinates):
Cs 0.000 0.000 0.000
Mg 0.000 0.000 0.500
As 0.500 0.500 0.222
As 0.500 0.500 0.778
Pd 0.000 0.500 0.341
Pd 0.000 0.500 0.659
Pd 0.500 0.000 0.341
Pd 0.500 0.000 0.659

Computed properties:
V: 186.2 Å³ per cell
Energy of formation from the pure elements: -0.4170 eV per atom

Entry from the Alexandria database: a relaxed structure of Cs2RbMgAs2 (PBE-GGA).

Lattice parameters (Å, degrees): 9.833 9.833 9.833 129.90 67.50 137.83
Atoms (fractional coordinates):
Cs 0.179 0.213 0.392
Cs 0.321 0.713 0.033
Cs 0.679 0.287 0.967
Cs 0.821 0.787 0.608
Rb 0.250 0.750 0.500
Rb 0.750 0.250 0.500
Mg 0.250 0.250 0.000
Mg 0.750 0.750 0.000
As 0.090 0.815 0.905
As 0.410 0.315 0.725
As 0.590 0.685 0.275
As 0.910 0.185 0.095

Computed properties:
V: 481.7 Å³ per cell
Energy of formation from the pure elements: -0.3958 eV per atom

Entry from the Alexandria database: a relaxed structure of Cs2MgAsS4 (PBE-GGA).

Lattice parameters (Å, degrees): 14.542 12.996 7.835 84.70 62.85 32.45
Atoms (fractional coordinates):
Cs 0.053 0.053 0.697
Cs 0.303 0.303 0.947
Cs 0.697 0.697 0.053
Cs 0.947 0.947 0.303
Mg 0.125 0.125 0.125
Mg 0.875 0.875 0.875
As 0.375 0.375 0.375
As 0.625 0.625 0.625
S 0.004 0.345 0.433
S 0.281 0.567 0.655
S 0.345 0.004 0.719
S 0.433 0.719 0.004
S 0.567 0.281 0.996
S 0.655 0.996 0.281
S 0.719 0.433 0.345
S 0.996 0.655 0.567

Computed properties:
V: 558.5 Å³ per cell
Formation energy without anion corrections: -83.09 kJ/mol of atoms

Entry from the Alexandria database: a relaxed structure of CsMg2ScAs (PBE-GGA).

Lattice parameters (Å, degrees): 5.670 5.670 6.214 90.00 90.00 90.00
Atoms (fractional coordinates):
Cs 0.000 0.000 0.000
Mg 0.000 0.500 0.500
Mg 0.500 0.000 0.500
Sc 0.000 0.000 0.500
As 0.500 0.500 0.000

Computed properties:
V: 199.8 Å³ per cell
Energy of formation from the pure elements: 1.0509 eV per atom

Entry from the Alexandria database: a relaxed structure of CsMgAs2Se (PBE-GGA).

Lattice parameters (Å, degrees): 5.853 5.853 5.870 90.00 90.00 90.00
Atoms (fractional coordinates):
Cs 0.000 0.000 0.000
Mg 0.500 0.500 0.500
As 0.000 0.500 0.000
As 0.500 0.000 0.000
Se 0.000 0.000 0.500

Computed properties:
V: 201.1 Å³ per cell
Formation energy without anion corrections: 130.02 kJ/mol of atoms

Entry from the Alexandria database: a relaxed structure of CsMgSnAs (PBE-GGA).

Lattice parameters (Å, degrees): 4.377 4.377 14.933 90.00 90.00 90.00
Atoms (fractional coordinates):
Cs 0.250 0.250 0.241
Cs 0.750 0.750 0.759
Mg 0.250 0.750 0.000
Mg 0.750 0.250 0.000
Sn 0.250 0.750 0.500
Sn 0.750 0.250 0.500
As 0.250 0.250 0.894
As 0.750 0.750 0.106

Computed properties:
V: 286.1 Å³ per cell
Energy of formation from the pure elements: -0.4047 eV per atom

Entry from the Alexandria database: a relaxed structure of CsMgTc2As (PBE-GGA).

Lattice parameters (Å, degrees): 4.843 4.843 5.258 90.00 90.00 90.00
Atoms (fractional coordinates):
Cs 0.000 0.000 0.000
Mg 0.500 0.500 0.000
Tc 0.000 0.500 0.500
Tc 0.500 0.000 0.500
As 0.500 0.500 0.500

Computed properties:
V: 123.3 Å³ per cell
Energy of formation from the pure elements: 1.0102 eV per atom

Entry from the Alexandria database: a relaxed structure of CsMg4TeAs2 (PBE-GGA).

Lattice parameters (Å, degrees): 4.599 4.599 11.569 90.00 90.00 90.00
Atoms (fractional coordinates):
Cs 0.000 0.000 0.000
Mg 0.000 0.500 0.317
Mg 0.000 0.500 0.683
Mg 0.500 0.000 0.317
Mg 0.500 0.000 0.683
Te 0.000 0.000 0.500
As 0.500 0.500 0.209
As 0.500 0.500 0.791

Computed properties:
V: 244.6 Å³ per cell
Formation energy without anion corrections: -52.81 kJ/mol of atoms

Entry from the Alexandria database: a relaxed structure of Cs2MgZnAs2 (PBE-GGA).

Lattice parameters (Å, degrees): 10.181 10.181 10.181 143.26 53.13 143.00
Atoms (fractional coordinates):
Cs 0.168 0.246 0.414
Cs 0.332 0.746 0.078
Cs 0.668 0.254 0.922
Cs 0.832 0.754 0.586
Mg 0.250 0.750 0.500
Mg 0.750 0.250 0.500
Zn 0.250 0.250 0.000
Zn 0.750 0.750 0.000
As 0.080 0.760 0.839
As 0.420 0.260 0.680
As 0.580 0.740 0.320
As 0.920 0.240 0.161

Computed properties:
V: 377.6 Å³ per cell
Energy of formation from the pure elements: -0.5341 eV per atom

Entry from the Alexandria database: a relaxed structure of CsMg2ZrAs (PBE-GGA).

Lattice parameters (Å, degrees): 5.613 5.613 5.677 90.00 90.00 90.00
Atoms (fractional coordinates):
Cs 0.000 0.000 0.000
Mg 0.000 0.500 0.500
Mg 0.500 0.000 0.500
Zr 0.000 0.000 0.500
As 0.500 0.500 0.000

Computed properties:
V: 178.9 Å³ per cell
Energy of formation from the pure elements: 1.2829 eV per atom

Entry from the Alexandria database: a relaxed structure of CsMn2As2 (PBE-GGA).

Lattice parameters (Å, degrees): 3.809 3.809 8.225 90.00 90.00 90.00
Atoms (fractional coordinates):
Cs 0.000 0.000 0.000
Mn 0.000 0.500 0.500
Mn 0.500 0.000 0.500
As 0.500 0.500 0.304
As 0.500 0.500 0.696

Computed properties:
V: 119.3 Å³ per cell
Energy of formation from the pure elements: -0.1971 eV per atom

Entry from the Alexandria database: a relaxed structure of CsMnAs2 (PBE-GGA).

Lattice parameters (Å, degrees): 8.005 8.005 8.005 28.76 28.76 28.76
Atoms (fractional coordinates):
Cs 0.000 0.000 0.000
Mn 0.500 0.500 0.500
As 0.213 0.213 0.213
As 0.787 0.787 0.787

Computed properties:
V: 105.0 Å³ per cell
Energy of formation from the pure elements: -0.2122 eV per atom

Entry from the Alexandria database: a relaxed structure of CsMnAs2 (PBE-GGA).

Lattice parameters (Å, degrees): 5.241 5.241 5.241 60.00 60.00 60.00
Atoms (fractional coordinates):
Cs 0.000 0.000 0.000
Mn 0.500 0.500 0.500
As 0.250 0.250 0.250
As 0.750 0.750 0.750

Computed properties:
V: 101.8 Å³ per cell
Energy of formation from the pure elements: 0.6386 eV per atom

Entry from the Alexandria database: a relaxed structure of CsMnAs2 (PBE-GGA).

Lattice parameters (Å, degrees): 8.166 8.166 6.200 100.35 100.35 136.09
Atoms (fractional coordinates):
Cs 0.083 0.917 0.750
Cs 0.917 0.083 0.250
Mn 0.252 0.748 0.250
Mn 0.748 0.252 0.750
As 0.205 0.549 0.871
As 0.451 0.795 0.629
As 0.549 0.205 0.371
As 0.795 0.451 0.129

Computed properties:
V: 251.5 Å³ per cell
Energy of formation from the pure elements: -0.2401 eV per atom

Entry from the Alexandria database: a relaxed structure of Cs2NaMnAs2 (PBE-GGA).

Lattice parameters (Å, degrees): 9.611 9.611 9.611 136.90 60.91 139.11
Atoms (fractional coordinates):
Cs 0.172 0.234 0.406
Cs 0.328 0.734 0.063
Cs 0.672 0.266 0.937
Cs 0.828 0.766 0.594
Na 0.250 0.250 0.000
Na 0.750 0.750 0.000
Mn 0.250 0.750 0.500
Mn 0.750 0.250 0.500
As 0.078 0.697 0.776
As 0.422 0.197 0.619
As 0.578 0.803 0.381
As 0.922 0.303 0.224

Computed properties:
V: 392.7 Å³ per cell
Energy of formation from the pure elements: -0.3715 eV per atom